Entry 1:
A plane-wave DFT calculation with PBE-GGA was carried out for a geometry-optimized KSeBr structure.

CIF file:
```
data_KSeBr
_chemical_formula_sum 'K1 Se1 Br1'
_cell_length_a 5.059
_cell_length_b 5.059
_cell_length_c 4.511
_cell_angle_alpha 90.00
_cell_angle_beta 90.00
_cell_angle_gamma 120.00
_symmetry_space_group_name_H-M 'P 1'
_symmetry_Int_Tables_number 1
loop_
_symmetry_equiv_pos_as_xyz
'x,y,z'
loop_
_atom_site_label
_atom_site_type_symbol
_atom_site_fract_x
_atom_site_fract_y
_atom_site_fract_z
Br1 Br 0.000 0.000 0.833
K1 K 0.667 0.333 0.333
Se1 Se 0.333 0.667 0.833
```

Results
Energy relative to the lowest polymorph listed for this composition, meV/atom: 449
Formation energy (no corrections), eV/atom: -0.530
SG: P-6m2

=====

Entry 2:
A plane-wave DFT calculation with PBE-GGA was carried out for a geometry-optimized Sr2CaMg structure.

CIF file:
```
data_Sr2CaMg
_chemical_formula_sum 'Sr2 Ca1 Mg1'
_cell_length_a 6.831
_cell_length_b 6.831
_cell_length_c 6.831
_cell_angle_alpha 132.68
_cell_angle_beta 132.68
_cell_angle_gamma 69.16
_symmetry_space_group_name_H-M 'P 1'
_symmetry_Int_Tables_number 1
loop_
_symmetry_equiv_pos_as_xyz
'x,y,z'
loop_
_atom_site_label
_atom_site_type_symbol
_atom_site_fract_x
_atom_site_fract_y
_atom_site_fract_z
Sr1 Sr 0.000 0.000 0.000
Sr2 Sr 0.250 0.750 0.500
Ca1 Ca 0.500 0.500 0.000
Mg1 Mg 0.750 0.250 0.500
```

Results
Formation energy from the elements, eV per atom: 0.0467
SG: I-4m2

=====

Entry 3:
A plane-wave DFT calculation with PBE-GGA was carried out for a geometry-optimized DyCu3Ge2 structure.

CIF file:
```
data_DyCu3Ge2
_chemical_formula_sum 'Dy2 Cu6 Ge4'
_cell_length_a 4.010
_cell_length_b 7.783
_cell_length_c 7.229
_cell_angle_alpha 114.95
_cell_angle_beta 90.00
_cell_angle_gamma 104.93
_symmetry_space_group_name_H-M 'P 1'
_symmetry_Int_Tables_number 1
loop_
_symmetry_equiv_pos_as_xyz
'x,y,z'
loop_
_atom_site_label
_atom_site_type_symbol
_atom_site_fract_x
_atom_site_fract_y
_atom_site_fract_z
Dy1 Dy 0.853 0.706 0.932
Dy2 Dy 0.147 0.294 0.068
Cu1 Cu 0.311 0.622 0.542
Cu2 Cu 0.960 0.919 0.618
Cu3 Cu 0.596 0.193 0.675
Cu4 Cu 0.404 0.807 0.325
Cu5 Cu 0.040 0.081 0.382
Cu6 Cu 0.689 0.378 0.458
Ge1 Ge 0.479 0.957 0.817
Ge2 Ge 0.521 0.043 0.183
Ge3 Ge 0.802 0.604 0.296
Ge4 Ge 0.198 0.396 0.704
```

Results
Formation energy from the elements, eV per atom: -0.3754
SG: C2/m

=====

Entry 4:
A plane-wave DFT calculation with PBE-GGA was carried out for a geometry-optimized CaZrAs2Rh5 structure.

CIF file:
```
data_CaZrAs2Rh5
_chemical_formula_sum 'Ca1 Zr1 As2 Rh5'
_cell_length_a 4.032
_cell_length_b 4.032
_cell_length_c 11.077
_cell_angle_alpha 90.00
_cell_angle_beta 90.00
_cell_angle_gamma 90.00
_symmetry_space_group_name_H-M 'P 1'
_symmetry_Int_Tables_number 1
loop_
_symmetry_equiv_pos_as_xyz
'x,y,z'
loop_
_atom_site_label
_atom_site_type_symbol
_atom_site_fract_x
_atom_site_fract_y
_atom_site_fract_z
Ca1 Ca 0.000 0.000 0.500
Zr1 Zr 0.000 0.000 0.000
As1 As 0.500 0.500 0.287
As2 As 0.500 0.500 0.713
Rh1 Rh 0.000 0.500 0.167
Rh2 Rh 0.500 0.000 0.167
Rh3 Rh 0.000 0.500 0.833
Rh4 Rh 0.500 0.000 0.833
Rh5 Rh 0.500 0.500 0.500
```

Results
Formation energy from the elements, eV per atom: -0.5021
SG: P4/mmm